w.
The following is a PBE calculation of a relaxed Rb3ZnAu crystal, from Alexandria via LeMat-Bulk.

Computed properties:
density of states at the Fermi level: 6.3 states/eV per cell
SG: Pm-3m (221)
spin magnetization: 0.8 μB per formula unit

Unit cell a=6.6744 b=6.6744 c=6.6744 alpha=90.00 beta=90.00 gamma=90.00
Fractional positions:
Rb  0.5000  0.0000  0.0000
Rb  0.0000  0.5000  0.0000
Rb  0.0000  0.0000  0.5000
Zn  0.5000  0.5000  0.5000
Au  0.0000  0.0000  0.0000



x.
The following is a PBE calculation of a relaxed Rb3ZnAu crystal, from Alexandria via LeMat-Bulk.

Computed properties:
density of states at the Fermi level: 5.4 states/eV per cell
SG: Pmmn (59)
spin magnetization: 0.0 μB per formula unit

Unit cell a=4.7761 b=10.7979 c=9.9807 alpha=90.00 beta=90.03 gamma=90.00
Fractional positions:
Rb  0.2507  0.7500  0.0691
Rb  0.7493  0.2500  0.9309
Rb  0.7506  0.9424  0.6648
Rb  0.2494  0.0576  0.3352
Rb  0.7506  0.5576  0.6648
Rb  0.2494  0.4424  0.3352
Au  0.7496  0.2500  0.5441
Au  0.2504  0.7500  0.4559
Zn  0.2497  0.2500  0.6408
Zn  0.7503  0.7500  0.3592



The relative energies come out as w 0.194; x 0.000, with values in eV/atom.



w.
The following is a PBE calculation of a relaxed RbZnAu3 crystal, from Alexandria via LeMat-Bulk.

Computed properties:
density of states at the Fermi level: 5.6 states/eV per cell
SG: Pm-3m (221)
spin magnetization: 1.7 μB per formula unit

Unit cell a=6.1636 b=6.1636 c=6.1636 alpha=90.00 beta=90.00 gamma=90.00
Fractional positions:
Au  0.0000  0.0000  0.5000
Au  0.5000  0.0000  0.0000
Au  0.0000  0.5000  0.0000
Rb  0.0000  0.0000  0.0000
Zn  0.5000  0.5000  0.5000



x.
The following is a PBE calculation of a relaxed RbZnAu3 crystal, from Alexandria via LeMat-Bulk.

Computed properties:
density of states at the Fermi level: 5.9 states/eV per cell
SG: Cmcm (63)
spin magnetization: 0.0 μB per formula unit

Unit cell a=7.1869 b=7.1869 c=9.9662 alpha=90.00 beta=90.00 gamma=91.94
Fractional positions:
Rb  0.1167  0.8833  0.7500
Rb  0.8833  0.1167  0.2500
Rb  0.5246  0.4754  0.7500
Rb  0.4754  0.5246  0.2500
Au  0.8128  0.1872  0.5649
Au  0.0518  0.3741  0.7500
Au  0.9482  0.6259  0.2500
Au  0.7904  0.7904  0.5000
Au  0.2096  0.2096  0.0000
Au  0.2096  0.2096  0.5000
Au  0.3741  0.0518  0.2500
Au  0.7904  0.7904  0.0000
Au  0.8128  0.1872  0.9351
Au  0.1872  0.8128  0.0649
Au  0.1872  0.8128  0.4351
Au  0.6259  0.9482  0.7500
Zn  0.5000  0.0000  0.0000
Zn  0.0000  0.5000  0.5000
Zn  0.5000  0.0000  0.5000
Zn  0.0000  0.5000  0.0000



The relative energies come out as w 1.426; x 0.000, with values in eV/atom.



w.
The following is a PBE calculation of a relaxed Rb2ZnAu2 crystal, from Alexandria via LeMat-Bulk.

Computed properties:
density of states at the Fermi level: 2.7 states/eV per cell
SG: Cmc2_1 (36)
spin magnetization: 0.0 μB per formula unit

Unit cell a=4.8432 b=8.7484 c=8.7024 alpha=90.00 beta=106.16 gamma=90.00
Fractional positions:
Rb  0.2182  0.8898  0.4364
Rb  0.7818  0.3898  0.5636
Rb  0.0526  0.2037  0.1053
Rb  0.9474  0.7037  0.8947
Zn  0.5873  0.5958  0.1747
Zn  0.4127  0.0958  0.8253
Au  0.5456  0.9007  0.0911
Au  0.1411  0.5444  0.2822
Au  0.8589  0.0444  0.7178
Au  0.4544  0.4007  0.9089



x.
The following is a PBE calculation of a relaxed Rb2ZnAu2 crystal, from Alexandria via LeMat-Bulk.

Computed properties:
density of states at the Fermi level: 2.2 states/eV per cell
SG: I4/mmm (139)
spin magnetization: 0.0 μB per formula unit

Unit cell a=6.7963 b=6.7963 c=6.1884 alpha=56.69 beta=56.69 gamma=90.00
Fractional positions:
Rb  0.2500  0.7500  0.5000
Rb  0.7500  0.2500  0.5000
Au  0.3261  0.3261  0.3478
Au  0.6739  0.6739  0.6522
Zn  0.0000  0.0000  0.0000



The relative energies come out as w 0.000; x 0.064, with values in eV/atom.



w.
The following is a PBE calculation of a relaxed RbZn3Au2 crystal, from Alexandria via LeMat-Bulk.

Computed properties:
density of states at the Fermi level: 4.0 states/eV per cell
SG: Cmcm (63)
spin magnetization: 0.0 μB per formula unit

Unit cell a=5.8345 b=6.9531 c=6.9531 alpha=105.70 beta=90.00 gamma=90.00
Fractional positions:
Au  0.0000  0.1963  0.8037
Au  0.5000  0.1963  0.8037
Au  0.5000  0.8037  0.1963
Au  0.0000  0.8037  0.1963
Zn  0.2500  0.9133  0.9133
Zn  0.2500  0.9305  0.5282
Zn  0.7500  0.4718  0.0695
Zn  0.7500  0.0695  0.4718
Zn  0.2500  0.5282  0.9305
Zn  0.7500  0.0867  0.0867
Rb  0.2500  0.3530  0.3530
Rb  0.7500  0.6470  0.6470



x.
The following is a PBE calculation of a relaxed RbZn3Au2 crystal, from Alexandria via LeMat-Bulk.

Computed properties:
density of states at the Fermi level: 4.5 states/eV per cell
SG: C2/m (12)
spin magnetization: 0.0 μB per formula unit

Unit cell a=4.5384 b=8.4631 c=8.1643 alpha=111.53 beta=90.00 gamma=105.55
Fractional positions:
Au  0.8390  0.6780  0.3982
Au  0.4811  0.9622  0.8154
Au  0.1610  0.3220  0.6018
Au  0.5189  0.0378  0.1846
Zn  0.9998  0.9996  0.3338
Zn  0.3107  0.6214  0.5526
Zn  0.5890  0.1780  0.6424
Zn  0.0002  0.0004  0.6662
Zn  0.6893  0.3786  0.4474
Zn  0.4110  0.8220  0.3576
Rb  0.8363  0.6726  0.9152
Rb  0.1637  0.3274  0.0848



The relative energies come out as w 0.010; x 0.000, with values in eV/atom.



w.
The following is a PBE calculation of a relaxed RbZn2Au3 crystal, from Alexandria via LeMat-Bulk.

Computed properties:
density of states at the Fermi level: 4.2 states/eV per cell
SG: Imma (74)
spin magnetization: 0.0 μB per formula unit

Unit cell a=6.5813 b=7.1843 c=7.4912 alpha=118.65 beta=116.06 gamma=90.00
Fractional positions:
Zn  0.1097  0.9194  0.8388
Zn  0.2291  0.4194  0.8388
Zn  0.8903  0.0806  0.1612
Zn  0.7709  0.5806  0.1612
Au  0.5000  0.7975  0.0000
Au  0.5000  0.2025  0.0000
Au  0.0000  0.2975  0.0000
Au  0.0000  0.5000  0.5000
Au  0.0000  0.7025  0.0000
Au  0.0000  0.0000  0.5000
Rb  0.4803  0.7500  0.5000
Rb  0.5197  0.2500  0.5000



x.
The following is a PBE calculation of a relaxed RbZn2Au3 crystal, from Alexandria via LeMat-Bulk.

Computed properties:
density of states at the Fermi level: 2.9 states/eV per cell
SG: Cmcm (63)
spin magnetization: 0.0 μB per formula unit

Unit cell a=5.6353 b=7.1715 c=7.1715 alpha=108.02 beta=90.00 gamma=90.00
Fractional positions:
Au  0.7500  0.0885  0.0885
Au  0.2500  0.9380  0.5175
Au  0.7500  0.4825  0.0620
Au  0.2500  0.9115  0.9115
Au  0.2500  0.5175  0.9380
Au  0.7500  0.0620  0.4825
Rb  0.2500  0.3489  0.3489
Rb  0.7500  0.6511  0.6511
Zn  0.5000  0.1888  0.8112
Zn  0.5000  0.8112  0.1888
Zn  0.0000  0.8112  0.1888
Zn  0.0000  0.1888  0.8112



The relative energies come out as w 0.062; x 0.000, with values in eV/atom.



w.
The following is a PBE calculation of a relaxed Rb2ZnAu3 crystal, from Alexandria via LeMat-Bulk.

Computed properties:
density of states at the Fermi level: 0.7 states/eV per cell
SG: Immm (71)
spin magnetization: 0.0 μB per formula unit

Unit cell a=4.5847 b=6.0981 c=7.8173 alpha=112.96 beta=107.05 gamma=90.00
Fractional positions:
Rb  0.3116  0.8116  0.6232
Rb  0.6884  0.1884  0.3768
Au  0.0000  0.0000  0.0000
Au  0.3979  0.3979  0.7957
Au  0.6021  0.6021  0.2043
Zn  0.0000  0.5000  0.0000



x.
The following is a PBE calculation of a relaxed Rb2ZnAu3 crystal, from Alexandria via LeMat-Bulk.

Computed properties:
density of states at the Fermi level: 4.2 states/eV per cell
SG: Pmma (51)
spin magnetization: 0.0 μB per formula unit

Unit cell a=5.7424 b=6.9131 c=8.8561 alpha=90.00 beta=90.00 gamma=90.00
Fractional positions:
Au  0.7500  0.2100  0.2276
Au  0.7500  0.7900  0.2276
Au  0.0000  0.0000  0.0000
Au  0.5000  0.0000  0.0000
Au  0.2500  0.2100  0.7724
Au  0.2500  0.7900  0.7724
Rb  0.7500  0.0000  0.6221
Rb  0.2500  0.0000  0.3779
Rb  0.7500  0.5000  0.8611
Rb  0.2500  0.5000  0.1389
Zn  0.2500  0.5000  0.5951
Zn  0.7500  0.5000  0.4049



The relative energies come out as w 0.124; x 0.000, with values in eV/atom.